8
Lattice="-4.2659 4.2659 3.2000 4.2659 -4.2659 3.2000 4.2659 4.2659 -3.2000" Properties=species:S:1:pos:R:3 comment="GGA-PBE Ca2MgNb, relaxed" e_form_ev_per_atom=0.802 pbc="T T T"
Ca 6.3988 2.1148 -0.8000
Ca 2.1148 2.1329 0.8000
Ca -2.1329 2.1510 2.4000
Ca 2.1510 2.1329 4.0000
Mg 0.0000 0.0000 0.0000
Mg 0.0000 4.2659 1.6000
Nb 4.2659 0.0000 1.6000
Nb 0.0000 0.0000 3.2000


5
Lattice="-2.2016 2.2016 7.4766 2.2016 -2.2016 7.4766 2.2016 2.2016 -7.4766" Properties=species:S:1:pos:R:3 comment="GGA-PBE Ca2Mg2Nb, relaxed" e_form_ev_per_atom=0.842 pbc="T T T"
Ca 2.2016 0.0000 3.7383
Ca 0.0000 2.2016 3.7383
Mg 0.0000 0.0000 1.3330
Mg 0.0000 0.0000 13.6203
Nb 0.0000 0.0000 7.4766


10
Lattice="8.6951 0.0000 0.0000 0.0000 8.6951 0.0000 0.0000 0.0000 3.5854" Properties=species:S:1:pos:R:3 comment="GGA-PBE Ca2Mg2Nb, relaxed" e_form_ev_per_atom=0.551 pbc="T T T"
Ca 1.5447 2.8028 0.0000
Ca 2.8028 7.1503 0.0000
Ca 5.8923 1.5447 0.0000
Ca 7.1503 5.8923 0.0000
Mg 1.0784 5.4259 1.7927
Mg 3.2691 1.0784 1.7927
Mg 5.4259 7.6167 1.7927
Mg 7.6167 3.2691 1.7927
Nb 0.0000 0.0000 1.7927
Nb 4.3475 4.3475 1.7927


4
Lattice="0.0000 3.4928 3.4928 3.4928 0.0000 3.4928 3.4928 3.4928 0.0000" Properties=species:S:1:pos:R:3 comment="GGA-PBE CaMgNb2, relaxed" e_form_ev_per_atom=0.864 pbc="T T T"
Ca 0.0000 0.0000 0.0000
Mg 3.4928 3.4928 3.4928
Nb 1.7464 1.7464 1.7464
Nb 5.2393 5.2393 5.2393


4
Lattice="0.0000 3.8429 3.8429 3.8429 0.0000 3.8429 3.8429 3.8429 0.0000" Properties=species:S:1:pos:R:3 comment="GGA-PBE Ca2MgNb, relaxed" e_form_ev_per_atom=0.524 pbc="T T T"
Ca 1.9214 1.9214 1.9214
Ca 5.7643 5.7643 5.7643
Mg 0.0000 0.0000 0.0000
Nb 3.8429 3.8429 3.8429


16
Lattice="4.3714 0.0000 0.0000 0.0000 4.3714 0.0000 0.0000 0.0000 8.8642" Properties=species:S:1:pos:R:3 comment="GGA-PBE CaMg6NbO8, relaxed" formation_energy_uncorrected_kj_per_mol_atoms=-233.9 pbc="T T T"
Ca 0.0000 0.0000 0.0000
Mg 0.0000 0.0000 4.4321
Mg 0.0000 2.1857 2.3222
Mg 0.0000 2.1857 6.5420
Mg 2.1857 0.0000 2.3222
Mg 2.1857 0.0000 6.5420
Mg 2.1857 2.1857 4.4321
Nb 2.1857 2.1857 0.0000
O 0.0000 0.0000 2.3580
O 0.0000 0.0000 6.5062
O 0.0000 2.1857 0.0000
O 0.0000 2.1857 4.4321
O 2.1857 0.0000 0.0000
O 2.1857 0.0000 4.4321
O 2.1857 2.1857 2.3406
O 2.1857 2.1857 6.5237